DFT (PBE) results for an optimized crystal structure of CaRu2Au.

The electronic total energy comes out at -5.3879 eV/atom. Its calculated formation energy is 570 meV/atom. As for the excess energy over the best structure of this formula in the dataset: 470.8 meV per atom. The density of states at the Fermi level comes out at 2.19 states/eV/atom.

The space group is Fm-3m (No. 225) and the conventional cell measures 6.530, 6.530 and 6.530 Å, with angles of 90.00, 90.00 and 90.00 degrees. Symmetry generates all atoms from Ca at (0.000, 0.000, 0.000), Ru at (0.250, 0.250, 0.250) and Au at (0.000, 0.000, 0.500).



DFT (PBE) results for an optimized crystal structure of SbPtIN2.

The electronic total energy comes out at -4.2068 eV/atom. As for the excess energy over the best structure of this formula in the dataset: 48.1 meV per atom. The calculation puts the raw formation energy at 1466 meV/atom. The density of states at the Fermi level comes out at 1.09 states/eV/atom.

The space group is P4/mmm (No. 123) and the conventional cell measures 3.996, 3.996 and 7.680 Å, with angles of 90.00, 90.00 and 90.00 degrees. Symmetry generates all atoms from Sb at (0.000, 0.000, 0.000), Pt at (0.500, 0.500, 0.500), I at (0.500, 0.500, 0.000) and N at (0.000, 0.500, 0.500).



DFT (PBE) results for an optimized crystal structure of AcC2IO6.

The electronic total energy comes out at -7.1726 eV/atom. The calculation puts the raw formation energy at -1787 meV/atom. The density of states at the Fermi level comes out at 0.00 states/eV/atom.

The space group is C2/c (No. 15) and the conventional cell measures 9.917, 9.822 and 8.205 Å, with angles of 90.00, 124.25 and 90.00 degrees. Symmetry generates all atoms from Ac at (0.000, 0.082, 0.250), C at (0.242, 0.362, 0.217), I at (0.000, 0.397, 0.750), O at (0.133, 0.087, 0.622), O at (0.150, 0.272, 0.213) and O at (0.224, 0.415, 0.056).



DFT (PBE) results for an optimized crystal structure of K2Ho2GeS6.

The electronic total energy comes out at -5.0674 eV/atom. The calculation puts the raw formation energy at -1364 meV/atom.

The space group is C2/m (No. 12) and the conventional cell measures 6.734, 11.555 and 7.895 Å, with angles of 90.00, 106.92 and 90.00 degrees. Symmetry generates all atoms from K at (0.000, 0.171, 0.000), Ho at (0.000, 0.332, 0.500), Ge at (0.000, 0.000, 0.500), S at (0.220, 0.154, 0.691) and S at (0.234, 0.000, 0.316).



DFT (PBE) results for an optimized crystal structure of Na3Li2Pb.

The electronic total energy comes out at -1.8244 eV/atom. Its calculated formation energy is 91 meV/atom. As for the excess energy over the best structure of this formula in the dataset: 192.4 meV per atom. The density of states at the Fermi level comes out at 0.46 states/eV/atom.

The space group is P6/mmm (No. 191) and the conventional cell measures 5.8717, 5.8717 and 5.5236 Å, with angles of 90.00, 90.00 and 120.00 degrees. Symmetry generates all atoms from Na at (0.0000, 0.5000, 0.0000), Li at (0.3333, 0.6667, 0.5000) and Pb at (0.0000, 0.0000, 0.5000).



DFT (PBE) results for an optimized crystal structure of RbIn2AgPt.

The electronic total energy comes out at -3.2455 eV/atom. Its calculated formation energy is -178 meV/atom. The density of states at the Fermi level comes out at 0.37 states/eV/atom.

The space group is P4/mmm (No. 123) and the conventional cell measures 5.180, 5.180 and 5.555 Å, with angles of 90.00, 90.00 and 90.00 degrees. Symmetry generates all atoms from Rb at (0.000, 0.000, 0.000), In at (0.000, 0.500, 0.500), Ag at (0.500, 0.500, 0.000) and Pt at (0.500, 0.500, 0.500).



DFT (PBE) results for an optimized crystal structure of Rb4CeTm3S8.

The electronic total energy comes out at -5.3360 eV/atom. The calculation puts the raw formation energy at -1821 meV/atom. The density of states at the Fermi level comes out at 0.28 states/eV/atom.

The space group is R-3m (No. 166, hexagonal axes) and the conventional cell measures 8.1703, 8.1703 and 23.0137 Å, with angles of 90.00, 90.00 and 120.00 degrees. Symmetry generates all atoms from Rb at (0.0000, 0.0000, 0.0000), Rb at (0.0000, 0.5000, 0.0000), Ce at (0.0000, 0.0000, 0.5000), Tm at (0.0000, 0.5000, 0.5000), S at (0.0000, 0.0000, 0.2296) and S at (0.0106, 0.5053, 0.7694).



DFT (PBE) results for an optimized crystal structure of AcPm2OsN4.

The electronic total energy comes out at -8.0852 eV/atom. The calculation puts the raw formation energy at -818 meV/atom. The density of states at the Fermi level comes out at 0.39 states/eV/atom.

The space group is Cmcm (No. 63) and the conventional cell measures 3.569, 12.212 and 12.083 Å, with angles of 90.00, 90.00 and 90.00 degrees. Symmetry generates all atoms from Ac at (0.000, 0.108, 0.250), Pm at (0.000, 0.368, 0.042), Os at (0.000, 0.155, 0.750), N at (0.000, 0.000, 0.000), N at (0.000, 0.268, 0.629) and N at (0.000, 0.422, 0.250).



DFT (PBE) results for an optimized crystal structure of Ac2YUO8.

The electronic total energy comes out at -8.6368 eV/atom. The calculation puts the raw formation energy at -3167 meV/atom. The density of states at the Fermi level comes out at 0.63 states/eV/atom.

The space group is P2/m (No. 10) and the conventional cell measures 4.007, 7.794 and 5.729 Å, with angles of 90.00, 90.09 and 90.00 degrees. Symmetry generates all atoms from Ac at (0.000, 0.248, 0.000), Y at (0.500, 0.500, 0.500), U at (0.500, 0.000, 0.500), O at (0.000, 0.500, 0.270), O at (0.001, 0.000, 0.286) and O at (0.499, 0.222, 0.724).



DFT (PBE) results for an optimized crystal structure of MnNi2Rh2.

The electronic total energy comes out at -6.8640 eV/atom. Its calculated formation energy is 223 meV/atom. As for the excess energy over the best structure of this formula in the dataset: 56.2 meV per atom. The density of states at the Fermi level comes out at 1.12 states/eV/atom.

The space group is I4/mmm (No. 139) and the conventional cell measures 3.275, 3.275 and 12.941 Å, with angles of 90.00, 90.00 and 90.00 degrees. Symmetry generates all atoms from Mn at (0.000, 0.000, 0.000), Ni at (0.000, 0.500, 0.250) and Rh at (0.000, 0.000, 0.399).



DFT (PBE) results for an optimized crystal structure of HoScTlIn.

The electronic total energy comes out at -4.3577 eV/atom. Its calculated formation energy is -354 meV/atom. The density of states at the Fermi level comes out at 0.63 states/eV/atom.

The space group is I-4m2 (No. 119) and the conventional cell measures 4.814, 4.814 and 8.551 Å, with angles of 90.00, 90.00 and 90.00 degrees. Symmetry generates all atoms from Ho at (0.000, 0.000, 0.000), Sc at (0.000, 0.000, 0.500), Tl at (0.000, 0.500, 0.750) and In at (0.000, 0.500, 0.250).



DFT (PBE) results for an optimized crystal structure of UInI6.

The electronic total energy comes out at -3.6003 eV/atom. As for the excess energy over the best structure of this formula in the dataset: 8.6 meV per atom. The calculation puts the raw formation energy at -684 meV/atom. The density of states at the Fermi level comes out at 0.04 states/eV/atom.

The space group is P-1 (No. 2) and the conventional cell measures 7.892, 7.898 and 8.486 Å, with angles of 62.31, 62.30 and 60.05 degrees. Symmetry generates all atoms from U at (0.000, 0.000, 0.000), In at (0.500, 0.500, 0.500), I at (0.058, 0.784, 0.764), I at (0.215, 0.607, 0.236) and I at (0.394, 0.058, 0.765).



Magnetization readings, ordered: 0.0; 1.2; 0.0; 0.0; 0.0; 0.0; 3.0; 0.0; 0.8; 2.7; 1.0; 1.0 μB per cell